Material: Te3IO
Method: DFT, PBE
State: relaxed

Calculated values
- Calculated total energy: -1.6989 eV per atom

The structure in POSCAR format:
```
Te3IO
1.0
5.7968 0.0000 0.0000
0.0000 5.7968 0.0000
0.0000 0.0000 5.7968
I O Te
1 1 3
Direct
0.0000 0.0000 0.0000
0.5000 0.5000 0.5000
0.0000 0.0000 0.5000
0.0000 0.5000 0.0000
0.5000 0.0000 0.0000
```


Material: TeIO6
Method: DFT, PBE
State: relaxed

Calculated values
- Calculated total energy: -4.5827 eV per atom

The structure in POSCAR format:
```
TeIO6
1.0
5.4534 -0.7008 -0.0597
-2.6793 4.8012 -0.0597
-0.5732 -0.8473 4.8442
O I Te
6 1 1
Direct
0.8890 0.6243 0.7558
0.2522 0.2522 0.7489
0.1110 0.3757 0.2442
0.3757 0.1110 0.2442
0.7478 0.7478 0.2511
0.6243 0.8890 0.7558
0.5000 0.5000 0.5000
0.0000 0.0000 0.0000
```


Material: Te3IO
Method: DFT, PBE
State: relaxed

Calculated values
- Calculated total energy: -2.8103 eV per atom

The structure in POSCAR format:
```
Te3IO
1.0
4.9855 0.0000 0.0000
0.0000 4.9855 0.0000
0.0000 0.0000 4.9855
Te O I
3 1 1
Direct
0.0000 0.0000 0.5000
0.5000 0.0000 0.0000
0.0000 0.5000 0.0000
0.0000 0.0000 0.0000
0.5000 0.5000 0.5000
```


Material: TeI2O
Method: DFT, PBE
State: relaxed

Calculated values
- Calculated total energy: -2.2971 eV per atom

The structure in POSCAR format:
```
TeI2O
1.0
-4.0395 1.8600 -5.8636
-5.4488 -4.3377 2.3777
-6.8226 2.8717 0.9929
O I Te
2 4 2
Direct
0.2500 0.7500 0.5000
0.5000 0.5000 0.0000
0.3750 0.1250 0.2500
0.3750 0.6250 0.2500
0.8750 0.6250 0.7500
0.3750 0.6250 0.7500
0.7500 0.2500 0.5000
0.0000 0.0000 0.0000
```


Material: TeI2O2
Method: DFT, PBE
State: relaxed

Calculated values
- Calculated total energy: -3.3210 eV per atom

The structure in POSCAR format:
```
TeI2O2
1.0
-3.9460 -1.3980 0.7549
0.9344 -3.6766 -1.9249
2.1437 -2.7021 6.2018
O Te I
2 1 2
Direct
0.5000 0.0000 0.0000
0.0000 0.5000 0.0000
0.0000 0.0000 0.0000
0.5000 0.5000 0.5000
0.0000 0.0000 0.5000
```


Material: TeI2O2
Method: DFT, PBE
State: relaxed

Calculated values
- Calculated total energy: -2.4040 eV per atom

The structure in POSCAR format:
```
TeI2O2
1.0
4.9817 0.0000 0.0000
0.0000 4.9817 0.0000
0.0000 0.0000 4.1782
O I Te
2 2 1
Direct
0.0000 0.0000 0.0000
0.0000 0.0000 0.5000
0.0000 0.5000 0.0000
0.5000 0.0000 0.0000
0.5000 0.5000 0.5000
```